A relaxed structure of PrZr2Al9, computed with PBE.

a b c (Å): 5.4336 5.4336 26.2264
angles (deg): 90.00 90.00 120.00
Space group R-3m (No. 166, hexagonal axes)
Asymmetric unit:
Pr 0.0000 0.0000 0.0000 (multiplicity 3)
Zr 0.0000 0.0000 0.1440 (multiplicity 6)
Al 0.0000 0.0000 0.3345 (multiplicity 6)
Al 0.0000 0.0000 0.5000 (multiplicity 3)
Al 0.0071 0.5036 0.9130 (multiplicity 18)

Results
The value obtained for the density of states at the Fermi level is 7.20 states/eV/f.u. As for the formation energy: -0.347 eV per atom. For the total magnetic moment, the calculation gives 0.00 μB/atom.

---

A relaxed structure of PrZrAl, computed with PBE.

a b c (Å): 5.1341 5.1341 3.1043
angles (deg): 90.00 90.00 120.00
Space group P-6m2 (No. 187)
Asymmetric unit:
Pr 0.0000 0.0000 0.0000 (multiplicity 1)
Zr 0.3333 0.6667 0.0000 (multiplicity 1)
Al 0.6667 0.3333 0.5000 (multiplicity 1)

Results
The value obtained for the density of states at the Fermi level is 3.88 states/eV/f.u. As for the formation energy: 0.114 eV per atom. For the total magnetic moment, the calculation gives 0.00 μB/atom.

---

A relaxed structure of PrZr2Al, computed with PBE.

a b c (Å): 3.1750 3.1750 33.4455
angles (deg): 90.00 90.00 120.00
Space group R-3m (No. 166, hexagonal axes)
Asymmetric unit:
Pr 0.0000 0.0000 0.0000 (multiplicity 3)
Zr 0.0000 0.0000 0.0955 (multiplicity 6)
Al 0.0000 0.0000 0.5000 (multiplicity 3)

Results
The value obtained for the density of states at the Fermi level is 6.39 states/eV/f.u. As for the formation energy: 0.186 eV per atom. For the total magnetic moment, the calculation gives 0.00 μB/atom.

---

A relaxed structure of PrZrAl, computed with PBE.

a b c (Å): 3.220 3.220 14.214
angles (deg): 90.00 90.00 90.00
Space group I4mm (No. 107)
Asymmetric unit:
Pr 0.000 0.000 0.000 (multiplicity 2)
Zr 0.000 0.000 0.298 (multiplicity 2)
Al 0.000 0.000 0.666 (multiplicity 2)

Results
The value obtained for the density of states at the Fermi level is 2.40 states/eV/f.u. As for the formation energy: -0.136 eV per atom. For the total magnetic moment, the calculation gives 0.00 μB/atom.